# Ce5SN4

A geometry-optimized Ce5SN4 structure (PBE-GGA, Alexandria via LeMat-Bulk).

Unit cell a=3.6975 b=3.6975 c=25.6265 alpha=90.00 beta=90.00 gamma=90.00
Space group I4/mmm (No. 139)
Symmetry-distinct sites (fractional):
Ce 0.0000 0.0000 0.0000 [2 per cell]
Ce 0.0000 0.0000 0.2017 [4 per cell]
Ce 0.0000 0.0000 0.3922 [4 per cell]
S 0.0000 0.0000 0.5000 [2 per cell]
N 0.0000 0.0000 0.1058 [4 per cell]
N 0.0000 0.0000 0.2985 [4 per cell]

Values from the calculation:
**Electronic total energy**: -8.212 eV/atom